BaTa2Co, relaxed, DFT PBE-GGA; energy of formation = 4.493 eV/f.u.; space-group type = F-43m; excess energy over the best structure of this formula in the dataset = 0.682 eV/atom; VASP energy = -7.0603 eV/atom
1.0
0.000 3.448 3.448
3.448 0.000 3.448
3.448 3.448 0.000
Ba Ta Co
1 2 1
Direct
0.000 0.000 0.000
0.500 0.500 0.500
0.750 0.750 0.750
0.250 0.250 0.250